No. 1
Entry from the Alexandria database: crystalline Li4NbCr5O12 at its relaxed geometry (GGA+U).

Properties
- Total energy: -7.283 eV/atom
- SG: C2/m (12)

Structure (POSCAR):
```
Li4NbCr5O12
1.0
-3.060 -3.948 -1.566
2.128 -4.613 -1.277
-1.816 -4.275 9.391
Li Nb Cr O
4 1 5 12
Direct
0.555 0.338 0.792
0.107 0.338 0.208
0.893 0.662 0.792
0.445 0.662 0.208
0.000 0.000 0.500
0.837 0.326 0.000
0.334 0.331 0.500
0.666 0.669 0.500
0.500 0.000 0.000
0.163 0.674 0.000
0.851 0.000 0.896
0.149 0.000 0.104
0.696 0.000 0.404
0.304 0.000 0.596
0.361 0.667 0.399
0.972 0.667 0.601
0.028 0.333 0.399
0.639 0.333 0.601
0.459 0.345 0.103
0.196 0.345 0.897
0.804 0.655 0.103
0.541 0.655 0.897
```



No. 2
Entry from the Alexandria database: crystalline LiNbCrO4 at its relaxed geometry (GGA+U).

Properties
- Total energy: -7.799 eV/atom
- SG: Imma (74)
- DOS(E_F): 0.193 states/eV per atom
- Excess energy over the best structure of this formula in the dataset: 0.016 eV/atom

Structure (POSCAR):
```
LiNbCrO4
1.0
5.925 0.000 0.000
2.962 5.376 -0.013
2.962 1.826 5.056
Li Nb Cr O
2 2 2 8
Direct
0.129 0.121 0.621
0.871 0.879 0.379
0.000 0.500 0.000
0.500 0.500 0.000
0.500 0.000 0.000
0.500 0.500 0.500
0.252 0.269 0.769
0.709 0.269 0.769
0.291 0.731 0.231
0.748 0.731 0.231
0.269 0.239 0.223
0.269 0.723 0.739
0.731 0.761 0.777
0.731 0.277 0.261
```



No. 3
Entry from the Alexandria database: crystalline LiNbCrO4 at its relaxed geometry (GGA+U).

Properties
- Total energy: -7.815 eV/atom
- SG: P4_322 (95)
- Excess energy over the best structure of this formula in the dataset: 0.000 eV/atom

Structure (POSCAR):
```
LiNbCrO4
1.0
-3.414 -0.636 -5.257
-1.385 -5.930 1.617
-6.879 2.734 4.137
Li Nb Cr O
4 4 4 16
Direct
0.000 0.224 0.000
0.000 0.776 0.500
0.224 0.000 0.250
0.776 0.000 0.750
0.249 0.249 0.625
0.249 0.751 0.875
0.751 0.249 0.375
0.751 0.751 0.125
0.240 0.500 0.250
0.500 0.240 0.000
0.500 0.760 0.500
0.760 0.500 0.750
0.996 0.250 0.251
0.996 0.750 0.249
0.250 0.996 0.999
0.250 0.004 0.501
0.253 0.504 0.007
0.253 0.496 0.493
0.504 0.253 0.243
0.504 0.747 0.257
0.496 0.253 0.757
0.496 0.747 0.743
0.747 0.496 0.507
0.747 0.504 0.993
0.750 0.996 0.001
0.750 0.004 0.499
0.004 0.250 0.749
0.004 0.750 0.751
```



No. 4
Entry from the Alexandria database: crystalline Li4Nb5Cr3O16 at its relaxed geometry (GGA+U).

Properties
- Total energy: -7.912 eV/atom
- SG: Cm (8)
- DOS(E_F): 0.194 states/eV per atom

Structure (POSCAR):
```
Li4Nb5Cr3O16
1.0
3.015 5.428 0.078
-3.015 5.428 0.078
0.000 0.249 10.087
Li Nb Cr O
4 5 3 16
Direct
0.669 0.669 0.912
0.998 0.998 0.988
0.996 0.996 0.485
0.352 0.352 0.401
0.663 0.663 0.492
0.828 0.828 0.228
0.329 0.329 0.999
0.179 0.633 0.717
0.633 0.179 0.717
0.343 0.837 0.208
0.837 0.343 0.208
0.162 0.162 0.706
0.334 0.809 0.589
0.539 0.539 0.347
0.683 0.683 0.109
0.998 0.998 0.299
0.998 0.998 0.803
0.809 0.334 0.589
0.544 0.981 0.355
0.981 0.544 0.355
0.163 0.163 0.081
0.831 0.831 0.598
0.041 0.490 0.845
0.490 0.041 0.845
0.323 0.323 0.592
0.149 0.651 0.091
0.483 0.483 0.857
0.651 0.149 0.091
```



No. 5
Entry from the Alexandria database: crystalline Li2NbCr3O8 at its relaxed geometry (GGA+U).

Properties
- Total energy: -7.615 eV/atom
- SG: P6_3mc (186)
- DOS(E_F): 0.000 states/eV per atom
- Excess energy over the best structure of this formula in the dataset: 0.000 eV/atom

Structure (POSCAR):
```
Li2NbCr3O8
1.0
5.984 0.000 0.000
-2.992 5.182 0.000
0.000 0.000 9.627
Li Nb Cr O
4 2 6 16
Direct
0.333 0.667 0.902
0.000 0.000 0.993
0.000 0.000 0.493
0.667 0.333 0.402
0.333 0.667 0.493
0.667 0.333 0.993
0.170 0.830 0.215
0.170 0.340 0.215
0.660 0.830 0.215
0.340 0.170 0.715
0.830 0.660 0.715
0.830 0.170 0.715
0.167 0.833 0.594
0.039 0.520 0.341
0.333 0.667 0.109
0.000 0.000 0.308
0.000 0.000 0.808
0.167 0.334 0.594
0.480 0.961 0.341
0.480 0.520 0.341
0.334 0.167 0.094
0.666 0.833 0.594
0.520 0.480 0.841
0.520 0.039 0.841
0.667 0.333 0.609
0.833 0.666 0.094
0.961 0.480 0.841
0.833 0.167 0.094
```



No. 6
Entry from the Alexandria database: crystalline Li2NbCr3O8 at its relaxed geometry (GGA+U).

Properties
- Total energy: -7.607 eV/atom
- SG: P4_332 (212)
- DOS(E_F): 0.000 states/eV per atom
- Excess energy over the best structure of this formula in the dataset: 0.008 eV/atom

Structure (POSCAR):
```
Li2NbCr3O8
1.0
8.539 0.000 0.000
0.000 8.539 0.000
0.000 0.000 8.539
Li Nb Cr O
8 4 12 32
Direct
0.995 0.995 0.995
0.255 0.255 0.255
0.245 0.745 0.755
0.505 0.005 0.495
0.495 0.505 0.005
0.755 0.245 0.745
0.745 0.755 0.245
0.005 0.495 0.505
0.125 0.875 0.375
0.375 0.125 0.875
0.625 0.625 0.625
0.875 0.375 0.125
0.122 0.128 0.625
0.125 0.378 0.872
0.128 0.625 0.122
0.372 0.375 0.622
0.375 0.622 0.372
0.378 0.872 0.125
0.622 0.372 0.375
0.625 0.122 0.128
0.628 0.875 0.878
0.872 0.125 0.378
0.875 0.878 0.628
0.878 0.628 0.875
0.115 0.112 0.386
0.114 0.885 0.612
0.110 0.610 0.890
0.138 0.135 0.864
0.112 0.386 0.115
0.140 0.360 0.640
0.136 0.638 0.365
0.135 0.864 0.138
0.365 0.136 0.638
0.364 0.362 0.865
0.360 0.640 0.140
0.388 0.614 0.615
0.362 0.865 0.364
0.390 0.390 0.390
0.386 0.115 0.112
0.385 0.888 0.886
0.615 0.388 0.614
0.614 0.615 0.388
0.610 0.890 0.110
0.638 0.365 0.136
0.612 0.114 0.885
0.640 0.140 0.360
0.636 0.862 0.635
0.635 0.636 0.862
0.865 0.364 0.362
0.864 0.138 0.135
0.860 0.860 0.860
0.888 0.886 0.385
0.862 0.635 0.636
0.890 0.110 0.610
0.886 0.385 0.888
0.885 0.612 0.114
```



No. 7
Entry from the Alexandria database: crystalline Li2NbCr3O8 at its relaxed geometry (GGA+U).

Properties
- Total energy: -7.601 eV/atom
- SG: R-3m (166)
- DOS(E_F): 0.000 states/eV per atom
- Excess energy over the best structure of this formula in the dataset: 0.015 eV/atom

Structure (POSCAR):
```
Li2NbCr3O8
1.0
6.029 0.000 0.000
3.014 5.221 0.000
3.014 1.740 4.948
Li Nb Cr O
2 1 3 8
Direct
0.871 0.871 0.387
0.129 0.129 0.613
0.500 0.500 0.500
0.500 0.000 0.000
0.500 0.500 0.000
0.000 0.500 0.000
0.735 0.735 0.796
0.265 0.265 0.204
0.284 0.736 0.243
0.736 0.736 0.243
0.736 0.284 0.243
0.264 0.716 0.757
0.264 0.264 0.757
0.716 0.264 0.757
```



No. 8
Entry from the Alexandria database: crystalline Li4NbCrTe2O12 at its relaxed geometry (GGA+U).

Properties
- Total energy: -6.301 eV/atom
- SG: P1 (1)

Structure (POSCAR):
```
Li4NbCrTe2O12
1.0
-1.992 4.518 1.509
-2.414 -2.471 4.211
6.307 1.504 3.791
Li Nb Cr Te O
4 1 1 2 12
Direct
0.002 0.423 0.271
0.497 0.941 0.798
0.999 0.399 0.806
0.502 0.057 0.214
0.500 0.502 0.507
0.001 0.988 0.001
0.000 0.994 0.499
0.504 0.502 0.004
0.301 0.191 0.431
0.125 0.016 0.741
0.331 0.814 0.053
0.178 0.687 0.434
0.802 0.682 0.929
0.372 0.508 0.753
0.624 0.492 0.250
0.198 0.316 0.057
0.817 0.311 0.558
0.688 0.198 0.939
0.876 0.016 0.259
0.685 0.820 0.564
```